# NbCuW3

A relaxed NbCuW3 crystal (PBE, Alexandria via LeMat-Bulk).

Output
- Mass density: 12842 kg/m3
- DFT formation energy: 1.67 eV per atom
- VASP energy: -44.67 eV/cell
- Space group: Pm-3m
- Offset from the most stable computed form: 0 meV/atom
- D(E_F): 6.42 states/eV per cell
- Spin magnetization: 0.0 μB per cell

Cell lengths 4.5069, 4.5069, 4.5069 Å; angles 90.00, 90.00, 90.00 degrees
Element x y z (fractional)
W 0.0000 0.5000 0.0000
W 0.5000 0.0000 0.0000
W 0.0000 0.0000 0.5000
Nb 0.5000 0.5000 0.5000
Cu 0.0000 0.0000 0.0000

=====

# NbCuW3

A relaxed NbCuW3 crystal (PBE, Alexandria via LeMat-Bulk).

Output
- Mass density: 10937 kg/m3
- DFT formation energy: 2.44 eV per atom
- VASP energy: -40.84 eV/cell
- Space group: Pm-3m
- Offset from the most stable computed form: 764 meV/atom
- D(E_F): 3.14 states/eV per cell
- Spin magnetization: 0.0 μB per cell

Cell lengths 4.7547, 4.7547, 4.7547 Å; angles 90.00, 90.00, 90.00 degrees
Element x y z (fractional)
W 0.0000 0.5000 0.0000
Cu 0.5000 0.5000 0.5000
W 0.0000 0.0000 0.5000
W 0.5000 0.0000 0.0000
Nb 0.0000 0.0000 0.0000

=====

# Nb3CuW

A relaxed Nb3CuW crystal (PBE, Alexandria via LeMat-Bulk).

Output
- Mass density: 7580 kg/m3
- DFT formation energy: 1.53 eV per atom
- VASP energy: -39.59 eV/cell
- Space group: Pm-3m
- Offset from the most stable computed form: 160 meV/atom
- D(E_F): 6.03 states/eV per cell
- Spin magnetization: 0.0 μB per cell

Cell lengths 4.8666, 4.8666, 4.8666 Å; angles 90.00, 90.00, 90.00 degrees
Element x y z (fractional)
W 0.0000 0.0000 0.0000
Cu 0.5000 0.5000 0.5000
Nb 0.0000 0.0000 0.5000
Nb 0.5000 0.0000 0.0000
Nb 0.0000 0.5000 0.0000

=====

# ZrNb2CuW

A relaxed ZrNb2CuW crystal (PBE, Alexandria via LeMat-Bulk).

Output
- Mass density: 7961 kg/m3
- DFT formation energy: 1.14 eV per atom
- VASP energy: -40.01 eV/cell
- Space group: P4/mmm
- D(E_F): 6.32 states/eV per cell
- Spin magnetization: 0.0 μB per cell

Cell lengths 4.8051, 4.7377, 4.8051 Å; angles 90.00, 90.00, 90.00 degrees
Element x y z (fractional)
Zr 0.5000 0.5000 0.5000
Cu 0.0000 0.5000 0.0000
Nb 0.5000 0.0000 0.0000
Nb 0.0000 0.0000 0.5000
W 0.0000 0.0000 0.0000

=====

# Y2NbCu

A relaxed Y2NbCu crystal (PBE, Alexandria via LeMat-Bulk).

Output
- Mass density: 6022 kg/m3
- DFT formation energy: 0.26 eV per atom
- VASP energy: -26.04 eV/cell
- Space group: Fm-3m
- Offset from the most stable computed form: 0 meV/atom
- D(E_F): 2.12 states/eV per cell
- Spin magnetization: 2.2 μB per cell

Cell lengths 5.0703, 5.0703, 5.0703 Å; angles 60.00, 60.00, 60.00 degrees
Site moments in Bohr magnetons follow the coordinates.
Element x y z (fractional)
Nb 0.5000 0.5000 0.5000  1.61
Y 0.2500 0.2500 0.2500  0.14
Y 0.7500 0.7500 0.7500  0.14
Cu 0.0000 0.0000 0.0000  0.01

=====

# YNbCu

A relaxed YNbCu crystal (PBE, Alexandria via LeMat-Bulk).

Output
- Mass density: 6701 kg/m3
- DFT formation energy: 0.00 eV per atom
- VASP energy: -41.27 eV/cell
- Space group: P4mm
- Offset from the most stable computed form: 21 meV/atom
- D(E_F): 5.54 states/eV per cell
- Spin magnetization: 0.0 μB per cell

Cell lengths 3.4463, 3.4463, 10.2382 Å; angles 90.00, 90.00, 90.00 degrees
Element x y z (fractional)
Y 0.5000 0.5000 0.9335
Cu 0.0000 0.0000 0.4580
Nb 0.0000 0.0000 0.7317
Y 0.5000 0.5000 0.2778
Nb 0.5000 0.5000 0.6018
Cu 0.0000 0.0000 0.1045

=====

# YNbCu

A relaxed YNbCu crystal (PBE, Alexandria via LeMat-Bulk).

Output
- Mass density: 6616 kg/m3
- DFT formation energy: -0.02 eV per atom
- VASP energy: -41.36 eV/cell
- Space group: P2_1/m
- Offset from the most stable computed form: 7 meV/atom
- D(E_F): 5.22 states/eV per cell
- Spin magnetization: 0.0 μB per cell

Cell lengths 3.5744, 3.8107, 9.2232 Å; angles 90.00, 101.36, 90.00 degrees
Element x y z (fractional)
Nb 0.2201 0.7500 0.9403
Cu 0.0420 0.7500 0.5849
Y 0.3950 0.7500 0.2900
Cu 0.9580 0.2500 0.4151
Y 0.6050 0.2500 0.7100
Nb 0.7799 0.2500 0.0597

=====

# YNbCu

A relaxed YNbCu crystal (PBE, Alexandria via LeMat-Bulk).

Output
- Mass density: 6579 kg/m3
- DFT formation energy: 0.11 eV per atom
- VASP energy: -81.16 eV/cell
- Space group: C2/m
- Offset from the most stable computed form: 136 meV/atom
- D(E_F): 11.70 states/eV per cell
- Spin magnetization: 0.0 μB per cell

Cell lengths 4.9913, 4.3496, 11.5345 Å; angles 90.00, 98.42, 90.00 degrees
Element x y z (fractional)
Nb 0.7052 0.0000 0.4275
Y 0.8136 0.0000 0.1176
Cu 0.6379 0.5000 0.2786
Cu 0.3621 0.5000 0.7214
Nb 0.7052 0.5000 0.9275
Nb 0.2948 0.5000 0.0725
Y 0.1864 0.5000 0.3824
Cu 0.3621 0.0000 0.2214
Y 0.1864 0.0000 0.8824
Y 0.8136 0.5000 0.6176
Nb 0.2948 0.0000 0.5725
Cu 0.6379 0.0000 0.7786